# 1
Computed, not measured: crystalline LaZrTa2 at its relaxed geometry at the PBE-GGA level of DFT.

Summary:
ρ: 11.081 g cm⁻³
DOS(E_F): 1.323 states/eV per atom
Size of the total moment: 0.0 Bohr magnetons per cell
Formation energy: 0.49 eV per atom
Energy: -35.21 eV per formula unit
Polymorph energy (0 for the lowest one): 111 kJ/mol of formula units

Cell: 5.9406 5.9406 2.9072 Å, 90.00 90.00 120.15°
Fractional positions:
La  0.0000  0.5000  0.5000
Zr  0.5000  0.0000  0.5000
Ta  0.5000  0.5000  0.0000
Ta  0.0000  0.0000  0.0000



# 2
Computed, not measured: crystalline Li2AsAu4 at its relaxed geometry at the PBE-GGA level of DFT.

Summary:
ρ: 12.344 g cm⁻³
DOS(E_F): 0.368 states/eV per atom
Size of the total moment: 0.0 Bohr magnetons per cell
Formation energy: -0.31 eV per atom
Energy: -23.77 eV per formula unit

Cell: 4.0453 2.9263 11.0672 Å, 113.29 100.53 90.00°
Fractional positions:
Li  0.5690  0.7097  0.1380
Li  0.4310  0.2903  0.8620
As  0.0000  0.0000  0.0000
Au  0.1353  0.4061  0.2705
Au  0.7111  0.1333  0.4223
Au  0.2889  0.8667  0.5777
Au  0.8647  0.5939  0.7295



# 3
Computed, not measured: crystalline K2CuNi at its relaxed geometry at the PBE-GGA level of DFT.

Summary:
ρ: 2.916 g cm⁻³
DOS(E_F): 0.781 states/eV per atom
Size of the total moment: 0.0 Bohr magnetons per cell
Formation energy: 0.44 eV per atom
Energy: -10.30 eV per formula unit
Polymorph energy (0 for the lowest one): 26 kJ/mol of formula units

Cell: 3.4293 3.4293 9.7045 Å, 90.00 90.00 90.00°
Fractional positions:
K  0.5000  0.5000  0.3404
K  0.0000  0.0000  0.9075
Ni  0.0000  0.0000  0.6023
Cu  0.5000  0.5000  0.6498



# 4
Computed, not measured: crystalline TbHoZnRe at its relaxed geometry at the PBE-GGA level of DFT.

Summary:
ρ: 11.336 g cm⁻³
DOS(E_F): 0.527 states/eV per atom
Size of the total moment: 0.0 Bohr magnetons per cell
Formation energy: -0.03 eV per atom
Energy: -23.05 eV per formula unit

Cell: 4.9217 4.9217 4.9217 Å, 60.00 60.00 60.00°
Fractional positions:
Ho  0.7500  0.7500  0.7500
Zn  0.5000  0.5000  0.5000
Re  0.0000  0.0000  0.0000
Tb  0.2500  0.2500  0.2500



# 5
Computed, not measured: crystalline LaEr3Cu4 at its relaxed geometry at the PBE-GGA level of DFT.

Summary:
ρ: 8.730 g cm⁻³
DOS(E_F): 0.649 states/eV per atom
Size of the total moment: 0.0 Bohr magnetons per cell
Formation energy: -0.23 eV per atom
Energy: -36.82 eV per formula unit

Cell: 4.9458 6.9612 9.8883 Å, 90.00 90.00 90.00°
Fractional positions:
Er  0.5000  0.0000  0.7500
Er  0.5000  0.5000  0.2500
Er  0.0000  0.0000  0.5000
Er  0.5000  0.5000  0.7500
Er  0.0000  0.0000  0.0000
Er  0.5000  0.0000  0.2500
Cu  0.5000  0.7669  0.5000
Cu  0.0000  0.2325  0.2500
Cu  0.0000  0.2325  0.7500
Cu  0.5000  0.2331  0.0000
Cu  0.5000  0.2331  0.5000
Cu  0.0000  0.7675  0.7500
Cu  0.5000  0.7669  0.0000
Cu  0.0000  0.7675  0.2500
La  0.0000  0.5000  0.0000
La  0.0000  0.5000  0.5000



# 6
Computed, not measured: crystalline Sm4Ge3Pd at its relaxed geometry at the PBE-GGA level of DFT.

Summary:
ρ: 7.837 g cm⁻³
DOS(E_F): 0.779 states/eV per atom
Size of the total moment: 0.0 Bohr magnetons per cell
Formation energy: -0.83 eV per atom
Energy: -44.58 eV per formula unit

Cell: 4.2474 4.1674 11.0819 Å, 90.00 90.00 90.00°
Fractional positions:
Pd  0.5000  0.5000  0.0794
Ge  0.5000  0.0000  0.9167
Ge  0.0000  0.5000  0.5843
Ge  0.0000  0.0000  0.4199
Sm  0.5000  0.5000  0.3598
Sm  0.0000  0.5000  0.8642
Sm  0.0000  0.0000  0.1355
Sm  0.5000  0.0000  0.6402



# 7
Computed, not measured: crystalline Cr2CuAg at its relaxed geometry at the PBE-GGA level of DFT.

Summary:
ρ: 8.590 g cm⁻³
DOS(E_F): 1.204 states/eV per atom
Size of the total moment: 0.0 Bohr magnetons per cell
Formation energy: 0.59 eV per atom
Energy: -23.84 eV per formula unit
Polymorph energy (0 for the lowest one): 116 kJ/mol of formula units

Cell: 5.0236 5.0236 2.5053 Å, 84.48 84.48 120.85°
Fractional positions:
Ag  0.0000  0.5000  0.5000
Cu  0.5000  0.0000  0.5000
Cr  0.0000  0.0000  0.0000
Cr  0.5000  0.5000  0.0000



# 8
Computed, not measured: crystalline Sm2AlIr at its relaxed geometry at the PBE-GGA level of DFT.

Summary:
ρ: 9.315 g cm⁻³
DOS(E_F): 0.474 states/eV per atom
Size of the total moment: 0.0 Bohr magnetons per cell
Formation energy: -0.52 eV per atom
Energy: -24.11 eV per formula unit

Cell: 3.6365 3.6365 7.0087 Å, 90.00 90.00 90.00°
Fractional positions:
Al  0.5000  0.5000  0.5000
Sm  0.0000  0.0000  0.2321
Sm  0.0000  0.0000  0.7679
Ir  0.5000  0.5000  0.0000



# 9
Computed, not measured: crystalline GaCu2AgSe4 at its relaxed geometry at the PBE-GGA level of DFT.

Summary:
ρ: 5.562 g cm⁻³
DOS(E_F): 0.811 states/eV per atom
Size of the total moment: 0.0 Bohr magnetons per cell
E_form (uncorrected): -0.267 eV/atom
Energy: -30.14 eV per formula unit

Cell: 6.7146 6.8258 8.0844 Å, 90.00 90.00 90.00°
Fractional positions:
Se  0.3600  0.6578  0.2592
Se  0.8600  0.3422  0.7592
Se  0.8600  0.3422  0.2408
Se  0.3983  0.1743  0.5000
Se  0.3600  0.6578  0.7408
Se  0.3676  0.1936  0.0000
Se  0.8983  0.8257  0.0000
Se  0.8676  0.8064  0.5000
Ag  0.0105  0.1614  0.5000
Ag  0.5105  0.8386  0.0000
Cu  0.5016  0.3343  0.2487
Cu  0.5016  0.3343  0.7513
Cu  0.0016  0.6657  0.7487
Cu  0.0016  0.6657  0.2513
Ga  0.5004  0.8268  0.5000
Ga  0.0004  0.1732  0.0000



# 10
Computed, not measured: crystalline In3IrCl at its relaxed geometry at the PBE-GGA level of DFT.

Summary:
ρ: 6.139 g cm⁻³
DOS(E_F): 0.163 states/eV per atom
Size of the total moment: 0.0 Bohr magnetons per cell
E_form (uncorrected): -0.352 eV/atom
Energy: -20.68 eV per formula unit
Polymorph energy (0 for the lowest one): 41 kJ/mol of formula units

Cell: 9.5664 9.5664 9.5664 Å, 60.00 60.00 60.00°
Fractional positions:
Ir  0.6250  0.6250  0.6250
Ir  0.6250  0.1250  0.6250
Ir  0.1250  0.6250  0.6250
Ir  0.6250  0.6250  0.1250
In  0.9504  0.9504  0.5496
In  0.7004  0.7004  0.2996
In  0.5496  0.9504  0.9504
In  0.5496  0.5496  0.9504
In  0.2996  0.7004  0.2996
In  0.9504  0.5496  0.5496
In  0.5496  0.9504  0.5496
In  0.2996  0.2996  0.7004
In  0.9504  0.5496  0.9504
In  0.2996  0.7004  0.7004
In  0.7004  0.2996  0.2996
In  0.7004  0.2996  0.7004
Cl  0.1250  0.1250  0.6250
Cl  0.6250  0.1250  0.1250
Cl  0.1250  0.1250  0.1250
Cl  0.1250  0.6250  0.1250



# 11
Computed, not measured: crystalline Ce2Zn6Hg at its relaxed geometry at the PBE-GGA level of DFT.

Summary:
ρ: 8.178 g cm⁻³
DOS(E_F): 1.549 states/eV per atom
Size of the total moment: 1.8 Bohr magnetons per cell
Formation energy: -0.23 eV per atom
Energy: -21.92 eV per formula unit

Cell: 5.7899 5.9456 5.9456 Å, 60.04 90.01 90.01°
Fractional positions:
Ce  0.1636  0.3334  0.3334
Ce  0.8364  0.6666  0.6666
Zn  0.6555  0.1828  0.6344
Zn  0.6555  0.6344  0.1828
Zn  0.6556  0.1828  0.1828
Zn  0.3445  0.3656  0.8172
Zn  0.3444  0.8172  0.8172
Zn  0.3445  0.8172  0.3656
Hg  0.0000  0.0000  0.0000



# 12
Computed, not measured: crystalline RbCl at its relaxed geometry at the PBE-GGA level of DFT.

Summary:
ρ: 1.967 g cm⁻³
DOS(E_F): 0.000 states/eV per atom
Size of the total moment: 0.5 Bohr magnetons per cell
E_form (uncorrected): -1.846 eV/atom
Energy: -6.51 eV per formula unit

Cell: 7.4183 7.4183 7.4183 Å, 90.00 90.00 90.00°
Fractional positions:
Rb  0.5000  0.0000  0.5000
Rb  0.5000  0.5000  0.0000
Rb  0.0000  0.0000  0.0000
Rb  0.0000  0.5000  0.5000
Cl  0.7500  0.7500  0.2500
Cl  0.7500  0.2500  0.7500
Cl  0.2500  0.2500  0.2500
Cl  0.2500  0.7500  0.7500



The highest energy belongs to which entry?
RbCl